The following is a DFT calculation (GGA-PBEsol) of an optimized crystal structure of NiOsN2F.

```
5
Lattice="3.784 0.000 0.000 0.000 3.784 0.000 0.000 0.000 4.102" Properties=species:S:1:pos:R:3 pbc="T T T"
Ni 0.000 0.000 0.000
Os 1.892 1.892 2.051
N 0.000 1.892 2.051
N 1.892 0.000 2.051
F 1.892 1.892 0.000
```

Calculated values
total DFT energy (no corrections) = -6.816 eV per atom
M_tot = 0.92 μB per formula unit
density of states at the Fermi level = 7.64 states/eV/cell


The following is a DFT calculation (GGA-PBEsol) of an optimized crystal structure of TaRe.

```
6
Lattice="5.032 -1.583 0.000 5.032 1.583 0.000 -2.009 0.000 6.009" Properties=species:S:1:pos:R:3 pbc="T T T"
Ta 0.000 0.000 0.000
Ta -0.974 0.000 3.052
Ta 2.953 0.000 1.007
Re 2.024 0.000 4.022
Re 6.034 0.000 2.035
Re 5.033 0.000 5.018
```

Calculated values
total DFT energy (no corrections) = -13.185 eV per atom
M_tot = 0.00 μB per formula unit
density of states at the Fermi level = 2.78 states/eV/cell


The following is a DFT calculation (GGA-PBEsol) of an optimized crystal structure of TaCo2Rh.

```
4
Lattice="-1.844 1.844 3.738 1.844 -1.844 3.738 1.844 1.844 -3.738" Properties=species:S:1:pos:R:3 pbc="T T T"
Ta 0.000 0.000 0.000
Co 1.844 0.000 1.869
Co 0.000 0.000 3.738
Rh 0.000 1.844 1.869
```

Calculated values
offset from the most stable computed form = 0.101 eV/atom
total DFT energy (no corrections) = -9.307 eV per atom
M_tot = 1.86 μB per formula unit
density of states at the Fermi level = 4.15 states/eV/cell


The following is a DFT calculation (GGA-PBEsol) of an optimized crystal structure of TiMnAl3.

```
5
Lattice="4.826 0.000 0.000 0.000 4.826 0.000 0.000 0.000 4.826" Properties=species:S:1:pos:R:3 pbc="T T T"
Ti 0.000 0.000 0.000
Mn 2.413 2.413 2.413
Al 0.000 0.000 2.413
Al 0.000 2.413 0.000
Al 2.413 0.000 0.000
```

Calculated values
total DFT energy (no corrections) = -4.959 eV per atom
M_tot = 3.51 μB per formula unit
density of states at the Fermi level = 2.53 states/eV/cell


The following is a DFT calculation (GGA-PBEsol) of an optimized crystal structure of YFe2Rh.

```
4
Lattice="3.776 0.000 0.000 0.000 3.776 0.000 0.000 0.000 4.308" Properties=species:S:1:pos:R:3 pbc="T T T"
Y 0.000 0.000 0.000
Fe 0.000 1.888 2.154
Fe 1.888 0.000 2.154
Rh 1.888 1.888 0.000
```

Calculated values
total DFT energy (no corrections) = -8.188 eV per atom
M_tot = 5.47 μB per formula unit
density of states at the Fermi level = 3.99 states/eV/cell


The following is a DFT calculation (GGA-PBEsol) of an optimized crystal structure of ZnAg2P.

```
4
Lattice="3.971 0.000 0.000 0.000 3.971 0.000 0.000 0.000 3.935" Properties=species:S:1:pos:R:3 pbc="T T T"
Zn 0.000 0.000 0.000
Ag 0.000 1.986 1.967
Ag 1.986 0.000 1.967
P 1.986 1.986 0.000
```

Calculated values
offset from the most stable computed form = 0.000 eV/atom
total DFT energy (no corrections) = -3.378 eV per atom
M_tot = 0.00 μB per formula unit
density of states at the Fermi level = 0.99 states/eV/cell


The following is a DFT calculation (GGA-PBEsol) of an optimized crystal structure of TaRhSe2.

```
4
Lattice="3.463 0.000 0.000 0.000 3.463 0.000 0.000 0.000 6.405" Properties=species:S:1:pos:R:3 pbc="T T T"
Ta 0.000 0.000 0.000
Rh 1.731 1.731 1.252
Se 0.000 0.000 2.415
Se 1.731 1.731 5.213
```

Calculated values
offset from the most stable computed form = 0.000 eV/atom
total DFT energy (no corrections) = -7.545 eV per atom
M_tot = 0.00 μB per formula unit
density of states at the Fermi level = 1.10 states/eV/cell


The following is a DFT calculation (GGA-PBEsol) of an optimized crystal structure of Cu3BSe.

```
5
Lattice="4.452 0.000 0.000 0.000 4.452 0.000 0.000 0.000 4.452" Properties=species:S:1:pos:R:3 pbc="T T T"
Cu 0.000 0.000 2.226
Cu 0.000 2.226 0.000
Cu 2.226 0.000 0.000
B 2.226 2.226 2.226
Se 0.000 0.000 0.000
```

Calculated values
total DFT energy (no corrections) = -3.404 eV per atom
M_tot = 0.00 μB per formula unit
density of states at the Fermi level = 2.78 states/eV/cell


The following is a DFT calculation (GGA-PBEsol) of an optimized crystal structure of LiCoHSO5.

```
36
Lattice="9.582 0.000 0.000 0.000 5.292 0.000 -2.558 0.000 6.797" Properties=species:S:1:pos:R:3 pbc="T T T"
Li 0.002 0.380 2.150
Li -1.277 2.266 5.549
Li 8.302 3.026 1.249
Li 7.023 4.912 4.648
Co 3.343 1.101 2.708
Co 2.064 1.545 6.107
Co 4.960 3.747 0.690
Co 3.682 4.191 4.089
H 1.574 0.073 4.201
H 2.853 2.573 0.802
H 4.172 2.719 5.995
H 5.451 5.219 2.596
S 0.745 3.015 3.515
S 2.024 4.923 0.116
S 5.001 0.369 6.681
S 6.280 2.277 3.282
O -1.317 0.386 5.910
O -0.038 2.260 2.511
O 1.543 3.527 0.171
O 0.264 4.410 3.569
O 1.837 0.271 1.450
O 0.558 2.375 4.848
O 2.196 2.989 3.138
O 0.918 4.948 6.537
O 2.472 0.457 4.404
O 3.751 2.189 1.005
O 3.274 3.103 5.792
O 4.553 4.835 2.393
O 6.107 0.343 0.260
O 4.828 2.303 3.659
O 6.466 2.917 1.949
O 5.187 5.020 5.348
O 6.760 0.881 3.228
O 5.481 1.764 6.627
O 7.062 3.032 4.286
O 8.341 4.906 0.887
```

Calculated values
total DFT energy (no corrections) = -6.228 eV per atom
M_tot = 3.01 μB per formula unit
density of states at the Fermi level = 11.26 states/eV/cell


The following is a DFT calculation (GGA-PBEsol) of an optimized crystal structure of KBa2Sr.

```
4
Lattice="7.282 -2.153 0.000 7.282 2.153 0.000 -1.186 0.000 7.592" Properties=species:S:1:pos:R:3 pbc="T T T"
K 0.000 0.000 0.000
Ba 2.739 0.000 5.654
Ba 6.640 0.000 3.753
Sr 10.588 0.000 1.941
```

Calculated values
offset from the most stable computed form = 0.031 eV/atom
total DFT energy (no corrections) = -1.733 eV per atom
M_tot = 0.00 μB per formula unit
density of states at the Fermi level = 4.50 states/eV/cell


The following is a DFT calculation (GGA-PBEsol) of an optimized crystal structure of Mg2ZnIn.

```
4
Lattice="3.124 0.000 0.000 0.000 3.124 0.000 0.000 0.000 8.440" Properties=species:S:1:pos:R:3 pbc="T T T"
Mg 0.000 0.000 0.000
Mg 1.562 1.562 2.311
Zn 0.000 0.000 4.135
In 1.562 1.562 6.145
```

Calculated values
total DFT energy (no corrections) = -2.011 eV per atom
M_tot = 0.00 μB per formula unit
density of states at the Fermi level = 1.38 states/eV/cell


The following is a DFT calculation (GGA-PBEsol) of an optimized crystal structure of Fe3Co4.

```
7
Lattice="-1.397 1.397 9.732 1.397 -1.397 9.732 1.397 1.397 -9.732" Properties=species:S:1:pos:R:3 pbc="T T T"
Fe 0.000 0.000 0.000
Fe 0.000 0.000 2.806
Fe 0.000 0.000 16.658
Co 0.000 0.000 5.596
Co 0.000 0.000 8.342
Co 0.000 0.000 11.122
Co 0.000 0.000 13.868
```

Calculated values
offset from the most stable computed form = 0.000 eV/atom
total DFT energy (no corrections) = -8.257 eV per atom
M_tot = 14.80 μB per formula unit
density of states at the Fermi level = 4.34 states/eV/cell


The following is a DFT calculation (GGA-PBEsol) of an optimized crystal structure of KNi2Cl.

```
4
Lattice="2.677 -5.623 0.000 2.677 5.623 0.000 -1.660 0.000 2.491" Properties=species:S:1:pos:R:3 pbc="T T T"
K 0.000 0.000 0.000
Ni 1.339 2.811 0.000
Ni 1.339 -2.811 0.000
Cl 2.677 0.000 0.000
```

Calculated values
offset from the most stable computed form = 0.388 eV/atom
total DFT energy (no corrections) = -3.404 eV per atom
M_tot = 1.75 μB per formula unit
density of states at the Fermi level = 7.45 states/eV/cell


The following is a DFT calculation (GGA-PBEsol) of an optimized crystal structure of CaTe2Rh.

```
4
Lattice="3.088 -4.102 0.000 3.088 4.102 0.000 0.000 0.000 4.029" Properties=species:S:1:pos:R:3 pbc="T T T"
Ca 0.000 0.000 0.000
Te 3.088 1.633 2.014
Te 3.088 -1.633 2.014
Rh 3.088 0.000 0.000
```

Calculated values
offset from the most stable computed form = 0.182 eV/atom
total DFT energy (no corrections) = -4.976 eV per atom
M_tot = 0.00 μB per formula unit
density of states at the Fermi level = 1.37 states/eV/cell


The following is a DFT calculation (GGA-PBEsol) of an optimized crystal structure of CsLaBe2Al.

```
5
Lattice="4.934 0.000 0.000 0.000 4.934 0.000 0.000 0.000 5.747" Properties=species:S:1:pos:R:3 pbc="T T T"
Cs 0.000 0.000 0.000
La 0.000 0.000 2.874
Be 0.000 2.467 0.000
Be 2.467 0.000 0.000
Al 2.467 2.467 2.874
```

Calculated values
total DFT energy (no corrections) = -1.797 eV per atom
M_tot = 0.00 μB per formula unit
density of states at the Fermi level = 3.24 states/eV/cell


The following is a DFT calculation (GGA-PBEsol) of an optimized crystal structure of Sb3SeF.

```
5
Lattice="4.877 0.000 0.000 0.000 4.877 0.000 0.000 0.000 4.877" Properties=species:S:1:pos:R:3 pbc="T T T"
Sb 0.000 0.000 2.439
Sb 0.000 2.439 0.000
Sb 2.439 0.000 0.000
Se 2.439 2.439 2.439
F 0.000 0.000 0.000
```

Calculated values
total DFT energy (no corrections) = -3.801 eV per atom
M_tot = 0.00 μB per formula unit
density of states at the Fermi level = 2.67 states/eV/cell


The following is a DFT calculation (GGA-PBEsol) of an optimized crystal structure of HfBeNi3.

```
5
Lattice="4.442 0.000 0.000 0.000 4.442 0.000 0.000 0.000 4.442" Properties=species:S:1:pos:R:3 pbc="T T T"
Hf 0.000 0.000 0.000
Be 2.221 2.221 2.221
Ni 0.000 0.000 2.221
Ni 0.000 2.221 0.000
Ni 2.221 0.000 0.000
```

Calculated values
total DFT energy (no corrections) = -5.121 eV per atom
M_tot = 0.00 μB per formula unit
density of states at the Fermi level = 1.99 states/eV/cell


The following is a DFT calculation (GGA-PBEsol) of an optimized crystal structure of Ni3HW.

```
5
Lattice="3.658 0.000 0.000 0.000 3.658 0.000 0.000 0.000 3.658" Properties=species:S:1:pos:R:3 pbc="T T T"
Ni 0.000 0.000 1.829
Ni 0.000 1.829 0.000
Ni 1.829 0.000 0.000
H 0.000 0.000 0.000
W 1.829 1.829 1.829
```

Calculated values
total DFT energy (no corrections) = -6.943 eV per atom
M_tot = 2.82 μB per formula unit
density of states at the Fermi level = 4.95 states/eV/cell


The following is a DFT calculation (GGA-PBEsol) of an optimized crystal structure of NaH6BrO5.

```
26
Lattice="5.358 0.000 0.000 2.144 6.069 0.000 0.648 2.844 8.211" Properties=species:S:1:pos:R:3 pbc="T T T"
Na 1.381 0.550 0.799
Na 6.768 8.364 7.412
H 2.942 7.451 5.312
H 2.655 6.234 3.596
H 1.946 3.166 6.155
H 2.636 3.774 0.569
H 2.920 4.426 6.138
H 4.119 7.057 7.513
H 4.031 1.856 0.698
H 5.230 4.487 2.072
H 5.513 5.140 7.642
H 6.203 5.748 2.056
H 5.494 2.679 4.615
H 5.208 1.462 2.898
Br 3.030 3.046 3.160
Br 5.120 5.867 5.051
O 0.618 2.362 5.435
O 3.422 7.384 8.137
O 3.363 5.789 5.063
O 2.730 3.577 6.623
O 2.594 2.488 1.579
O 5.555 6.425 6.631
O 5.419 5.337 1.587
O 4.786 3.125 3.147
O 4.728 1.530 0.074
O 7.532 6.551 2.776
```

Calculated values
total DFT energy (no corrections) = -4.710 eV per atom
M_tot = 0.00 μB per formula unit
density of states at the Fermi level = 0.00 states/eV/cell


The following is a DFT calculation (GGA-PBEsol) of an optimized crystal structure of Zn2RuPb.

```
4
Lattice="-1.933 1.933 4.300 1.933 -1.933 4.300 1.933 1.933 -4.300" Properties=species:S:1:pos:R:3 pbc="T T T"
Zn 1.933 0.000 2.150
Zn 0.000 1.933 2.150
Ru 0.000 0.000 0.000
Pb 0.000 0.000 4.300
```

Calculated values
total DFT energy (no corrections) = -4.107 eV per atom
M_tot = 0.00 μB per formula unit
density of states at the Fermi level = 1.27 states/eV/cell